TmMnZn2: relaxed, GGA-PBE.

Results
Formation energy from the elements, eV per atom: -0.12
Symmetry: Fm-3m, No. 225
M_tot, μB per formula unit: 3.8

Lattice parameters (Å, degrees): 4.6558 4.6558 4.6558 60.00 60.00 60.00
With the nearest neighbours (Å) after each atom.
Positions (direct):
Tm 0.0000 0.0000 0.0000  8 Zn 2.85
Zn 0.7500 0.7500 0.7500  4 Mn 2.85, 4 Tm 2.85
Zn 0.2500 0.2500 0.2500  4 Mn 2.85, 4 Tm 2.85
Mn 0.5000 0.5000 0.5000  8 Zn 2.85